# 1
{"formula": "NaAs2Au2", "functional": "GGA-PBEsol", "state": "relaxed", "lattice_angstrom": [[-2.352, 1.605, 3.398], [3.230, -1.186, 2.796], [1.851, 4.510, -3.740]], "species": ["Na", "As", "As", "Au", "Au"], "fractional_positions": [[0.000, 0.000, 0.000], [0.384, 0.384, 0.768], [0.616, 0.616, 0.232], [0.250, 0.750, 0.500], [0.750, 0.250, 0.500]], "vol_a3_per_cell": 103.9, "sg": "I4/mmm", "ef_ev_per_fu": -0.6}


# 2
{"formula": "NaAsAu2S", "functional": "GGA-PBEsol", "state": "relaxed", "lattice_angstrom": [[-2.400, 0.228, -4.157], [-3.959, -1.609, 2.197], [-1.367, 4.802, 1.053]], "species": ["Na", "As", "Au", "Au", "S"], "fractional_positions": [[0.500, 0.500, 0.500], [0.000, 0.000, 0.000], [0.000, 0.500, 0.000], [0.500, 0.000, 0.000], [0.000, 0.000, 0.500]], "vol_a3_per_cell": 117.8, "sg": "P4/mmm", "e_form_raw_ev_per_atom": 0.067}


# 3
{"formula": "NaAsAuSe2", "functional": "GGA-PBEsol", "state": "relaxed", "lattice_angstrom": [[4.906, 0.000, 0.000], [0.000, 4.913, 0.000], [0.000, 0.000, 4.913]], "species": ["Na", "As", "Au", "Se", "Se"], "fractional_positions": [[0.000, 0.000, 0.000], [0.500, 0.000, 0.000], [0.500, 0.500, 0.500], [0.000, 0.000, 0.500], [0.000, 0.500, 0.000]], "vol_a3_per_cell": 118.4, "sg": "P4/mmm", "e_form_raw_ev_per_atom": 1.075}


# 4
{"formula": "NbReAsAu2", "functional": "GGA-PBEsol", "state": "relaxed", "lattice_angstrom": [[4.800, 0.000, 0.000], [0.000, 5.016, 0.000], [0.000, 0.000, 5.016]], "species": ["Re", "Nb", "Au", "Au", "As"], "fractional_positions": [[0.500, 0.500, 0.500], [0.000, 0.000, 0.000], [0.000, 0.000, 0.500], [0.000, 0.500, 0.000], [0.500, 0.000, 0.000]], "vol_a3_per_cell": 120.8, "sg": "P4/mmm", "ef_ev_per_fu": 9.2}


# 5
{"formula": "ZrNb2AsAu", "functional": "GGA-PBEsol", "state": "relaxed", "lattice_angstrom": [[4.675, 0.000, 0.000], [0.000, 4.741, 0.000], [0.000, 0.000, 4.741]], "species": ["Nb", "Nb", "Au", "As", "Zr"], "fractional_positions": [[0.000, 0.000, 0.500], [0.000, 0.500, 0.000], [0.500, 0.000, 0.000], [0.000, 0.000, 0.000], [0.500, 0.500, 0.500]], "vol_a3_per_cell": 105.1, "sg": "P4/mmm", "ef_ev_per_fu": 2.3}


# 6
{"formula": "NdAs2Au", "functional": "GGA-PBEsol", "state": "relaxed", "lattice_angstrom": [[-1.884, -2.079, 2.924], [3.209, -2.486, 0.300], [8.181, 12.244, 13.977]], "species": ["Nd", "Nd", "Nd", "Nd", "As", "As", "As", "As", "As", "As", "As", "As", "Au", "Au", "Au", "Au"], "fractional_positions": [[0.250, 0.226, 0.118], [0.750, 0.726, 0.382], [0.250, 0.274, 0.618], [0.750, 0.774, 0.882], [0.250, 0.706, 0.001], [0.750, 0.726, 0.159], [0.250, 0.226, 0.341], [0.750, 0.206, 0.499], [0.250, 0.794, 0.501], [0.750, 0.774, 0.659], [0.250, 0.274, 0.841], [0.750, 0.294, 0.999], [0.750, 0.223, 0.250], [0.250, 0.723, 0.250], [0.750, 0.277, 0.750], [0.250, 0.777, 0.750]], "vol_a3_per_cell": 334.9, "sg": "Pnma", "ef_ev_per_fu": -3.2}


# 7
{"formula": "NiAsAu2", "functional": "GGA-PBEsol", "state": "relaxed", "lattice_angstrom": [[4.450, 0.000, 0.000], [2.225, 3.854, 0.000], [2.225, 1.285, 3.633]], "species": ["As", "Au", "Au", "Ni"], "fractional_positions": [[0.500, 0.500, 0.500], [0.000, 0.000, 0.000], [0.750, 0.750, 0.750], [0.250, 0.250, 0.250]], "vol_a3_per_cell": 62.3, "sg": "F-43m", "ef_ev_per_fu": 0.7}


# 8
{"formula": "NiAs2Au", "functional": "GGA-PBEsol", "state": "relaxed", "lattice_angstrom": [[-1.671, -0.101, 2.336], [2.331, -0.307, 1.654], [0.517, 7.713, 0.702]], "species": ["As", "As", "Au", "Ni"], "fractional_positions": [[0.000, 0.000, 0.933], [0.500, 0.500, 0.269], [0.000, 0.000, 0.529], [0.500, 0.500, 0.768]], "vol_a3_per_cell": 64.1, "sg": "P4mm", "ef_ev_per_fu": 0.2}